{
  "formula": "FeSnP2O",
  "functional": "PBE with a Hubbard U",
  "state": "relaxed",
  "lattice": [[5.181, 0.000, 0.000], [0.000, 5.181, 0.000], [0.000, 0.000, 3.877]],
  "species": ["Fe", "Sn", "P", "P", "O"],
  "fractional_positions": [[0.000, 0.000, 0.000], [0.500, 0.500, 0.500], [0.000, 0.500, 0.500], [0.500, 0.000, 0.500], [0.500, 0.500, 0.000]],
  "energy_ev_per_atom": -4.32,
  "space_group": "P4/mmm",
  "crystal_system": "tetragonal"
}